## RbTeMoRu2 (GGA-PBE)

Data for a geometry-optimized RbTeMoRu2 structure.

Values from the calculation:
E_tot (eV per atom): -3.5818
Crystal system: tetragonal
DOS(E_F) (states/eV per cell): 12.58
Magnetization (μB/f.u.): 0.76

a = 4.6123 Å, b = 4.6123 Å, c = 5.7719 Å
α = 90.00°, β = 90.00°, γ = 90.00°
Last column: nearest neighbours and their distance in Å.
Positions (direct):
Rb: 0.0000 0.0000 0.0000  4 Ru 2.31
Te: 0.0000 0.0000 0.5000  2 Rb 2.89
Mo: 0.5000 0.5000 0.5000  4 Te 3.26
Ru: 0.0000 0.5000 0.0000  2 Rb 2.31
Ru: 0.5000 0.0000 0.0000  2 Rb 2.31